The following is a PBE calculation of La2PmPr6Tm3 after structural relaxation, from Alexandria via LeMat-Bulk.

Results
Space group: C2/m, No. 12
Formation energy from the elements, meV per atom: 21

Lattice parameters (Å, degrees): 6.3585 6.3585 12.0460 95.04 95.04 120.04
Last column: nearest neighbours and their distance in Å.
Positions (direct):
La  0.1666  0.8334  0.0000  3 Pm 3.67, 3 La 3.67, 6 Pr 3.71
La  0.8334  0.1666  0.0000  3 Pm 3.67, 3 La 3.67, 6 Pr 3.71
Pm  0.5000  0.5000  0.0000  6 La 3.67, 6 Pr 3.71
Pr  0.0812  0.4141  0.7431  3 Tm 3.58, 6 Pr 3.66-3.67, 1 Pm 3.71, 2 La 3.71
Pr  0.2530  0.2530  0.2569  3 Tm 3.58, 6 Pr 3.66-3.67, 1 Pm 3.71, 2 La 3.71
Pr  0.4141  0.0812  0.7431  3 Tm 3.58, 6 Pr 3.66-3.67, 1 Pm 3.71, 2 La 3.71
Pr  0.5859  0.9188  0.2569  3 Tm 3.58, 6 Pr 3.66-3.67, 1 Pm 3.71, 2 La 3.71
Pr  0.7470  0.7470  0.7431  3 Tm 3.58, 6 Pr 3.66-3.67, 1 Pm 3.71, 2 La 3.71
Pr  0.9188  0.5859  0.2569  3 Tm 3.58, 6 Pr 3.66-3.67, 1 Pm 3.71, 2 La 3.71
Tm  0.0000  0.0000  0.5000  6 Pr 3.58, 6 Tm 3.67
Tm  0.3335  0.6665  0.5000  6 Pr 3.58, 6 Tm 3.67
Tm  0.6665  0.3335  0.5000  6 Pr 3.58, 6 Tm 3.67